The following is a DFT calculation (GGA-PBE) of NbGa2Os after structural relaxation. Values from VASP.

```
&SYSTEM
  ibrav = 0, nat = 16, ntyp = 3
/
ATOMIC_SPECIES
Nb 92.91 Nb.upf
Ga 69.72 Ga.upf
Os 190.23 Os.upf
ATOMIC_POSITIONS crystal
Nb 0.000 0.000 0.000
Nb 0.000 0.500 0.500
Nb 0.500 0.000 0.500
Nb 0.500 0.500 0.000
Ga 0.250 0.250 0.250
Ga 0.250 0.250 0.750
Ga 0.250 0.750 0.250
Ga 0.250 0.750 0.750
Ga 0.750 0.250 0.250
Ga 0.750 0.250 0.750
Ga 0.750 0.750 0.250
Ga 0.750 0.750 0.750
Os 0.000 0.000 0.500
Os 0.000 0.500 0.000
Os 0.500 0.000 0.000
Os 0.500 0.500 0.500
CELL_PARAMETERS angstrom
6.265 0.000 0.000
0.000 6.265 0.000
0.000 0.000 6.265
```

Results
For the distance to the lowest polymorph of the same formula, the calculation gives 0 meV/atom.

=====

The following is a DFT calculation (GGA-PBE) of Nb2GaOs after structural relaxation. Values from VASP.

```
&SYSTEM
  ibrav = 0, nat = 16, ntyp = 3
/
ATOMIC_SPECIES
Nb 92.91 Nb.upf
Ga 69.72 Ga.upf
Os 190.23 Os.upf
ATOMIC_POSITIONS crystal
Nb 0.217 0.250 0.125
Nb 0.250 0.717 0.375
Nb 0.250 0.783 0.875
Nb 0.283 0.250 0.625
Nb 0.717 0.750 0.625
Nb 0.750 0.217 0.875
Nb 0.750 0.283 0.375
Nb 0.783 0.750 0.125
Ga 0.000 0.000 0.500
Ga 0.000 0.500 0.750
Ga 0.500 0.000 0.250
Ga 0.500 0.500 0.000
Os 0.000 0.000 0.000
Os 0.000 0.500 0.250
Os 0.500 0.000 0.750
Os 0.500 0.500 0.500
CELL_PARAMETERS angstrom
7.382 0.000 0.000
0.000 7.382 0.000
0.000 0.000 5.401
```

=====

The following is a DFT calculation (GGA-PBE) of Nb2GaOs2 after structural relaxation. Values from VASP.

```
&SYSTEM
  ibrav = 0, nat = 10, ntyp = 3
/
ATOMIC_SPECIES
Nb 92.91 Nb.upf
Ga 69.72 Ga.upf
Os 190.23 Os.upf
ATOMIC_POSITIONS crystal
Nb 0.000 0.000 0.117
Nb 0.000 0.000 0.883
Nb 0.500 0.500 0.383
Nb 0.500 0.500 0.617
Ga 0.000 0.000 0.500
Ga 0.500 0.500 0.000
Os 0.000 0.500 0.250
Os 0.000 0.500 0.750
Os 0.500 0.000 0.250
Os 0.500 0.000 0.750
CELL_PARAMETERS angstrom
3.938 0.000 0.000
0.000 3.938 0.000
0.000 0.000 12.556
```

Results
For the distance to the lowest polymorph of the same formula, the calculation gives 395 meV/atom.

=====

The following is a DFT calculation (GGA-PBE) of Nb2GaOs2 after structural relaxation. Values from VASP.

```
&SYSTEM
  ibrav = 0, nat = 10, ntyp = 3
/
ATOMIC_SPECIES
Nb 92.91 Nb.upf
Ga 69.72 Ga.upf
Os 190.23 Os.upf
ATOMIC_POSITIONS crystal
Nb 0.156 0.344 0.000
Nb 0.344 0.844 0.000
Nb 0.656 0.156 0.000
Nb 0.844 0.656 0.000
Ga 0.000 0.000 0.000
Ga 0.500 0.500 0.000
Os 0.137 0.637 0.500
Os 0.363 0.137 0.500
Os 0.637 0.863 0.500
Os 0.863 0.363 0.500
CELL_PARAMETERS angstrom
7.676 0.000 0.000
0.000 7.676 0.000
0.000 0.000 2.993
```

Results
For the distance to the lowest polymorph of the same formula, the calculation gives 147 meV/atom.

=====

The following is a DFT calculation (GGA-PBE) of Nb12Ga3Os after structural relaxation. Values from VASP.

```
&SYSTEM
  ibrav = 0, nat = 16, ntyp = 3
/
ATOMIC_SPECIES
Nb 92.91 Nb.upf
Ga 69.72 Ga.upf
Os 190.23 Os.upf
ATOMIC_POSITIONS crystal
Nb 0.000 0.000 0.120
Nb 0.000 0.000 0.372
Nb 0.000 0.000 0.628
Nb 0.000 0.000 0.880
Nb 0.247 0.500 0.247
Nb 0.247 0.500 0.753
Nb 0.500 0.249 0.500
Nb 0.500 0.254 0.000
Nb 0.500 0.746 0.000
Nb 0.500 0.751 0.500
Nb 0.753 0.500 0.247
Nb 0.753 0.500 0.753
Ga 0.000 0.500 0.500
Ga 0.500 0.000 0.252
Ga 0.500 0.000 0.748
Os 0.000 0.500 0.000
CELL_PARAMETERS angstrom
5.195 0.000 0.000
0.000 5.197 0.000
0.000 0.000 10.366
```

=====

The following is a DFT calculation (GGA-PBE) of NbGaOs2 after structural relaxation. Values from VASP.

```
&SYSTEM
  ibrav = 0, nat = 16, ntyp = 3
/
ATOMIC_SPECIES
Nb 92.91 Nb.upf
Ga 69.72 Ga.upf
Os 190.23 Os.upf
ATOMIC_POSITIONS crystal
Nb 0.000 0.000 0.000
Nb 0.000 0.500 0.250
Nb 0.500 0.000 0.750
Nb 0.500 0.500 0.500
Ga 0.000 0.000 0.500
Ga 0.000 0.500 0.750
Ga 0.500 0.000 0.250
Ga 0.500 0.500 0.000
Os 0.245 0.750 0.625
Os 0.250 0.245 0.375
Os 0.250 0.255 0.875
Os 0.255 0.750 0.125
Os 0.745 0.250 0.125
Os 0.750 0.745 0.875
Os 0.750 0.755 0.375
Os 0.755 0.250 0.625
CELL_PARAMETERS angstrom
7.050 0.000 0.000
0.000 7.050 0.000
0.000 0.000 5.427
```

=====

The following is a DFT calculation (GGA-PBE) of Nb2Ga4Os after structural relaxation. Values from VASP.

```
&SYSTEM
  ibrav = 0, nat = 14, ntyp = 3
/
ATOMIC_SPECIES
Nb 92.91 Nb.upf
Ga 69.72 Ga.upf
Os 190.23 Os.upf
ATOMIC_POSITIONS crystal
Nb 0.220 0.000 0.235
Nb 0.280 0.500 0.765
Nb 0.720 0.500 0.235
Nb 0.780 0.000 0.765
Ga 0.084 0.500 0.370
Ga 0.110 0.000 0.759
Ga 0.390 0.500 0.241
Ga 0.416 0.000 0.630
Ga 0.584 0.000 0.370
Ga 0.610 0.500 0.759
Ga 0.890 0.000 0.241
Ga 0.916 0.500 0.630
Os 0.000 0.000 0.000
Os 0.500 0.500 0.000
CELL_PARAMETERS angstrom
14.021 0.000 0.000
0.000 3.008 0.000
-2.601 0.000 5.606
```

=====

The following is a DFT calculation (GGA-PBE) of Nb2GaOs after structural relaxation. Values from VASP.

```
&SYSTEM
  ibrav = 0, nat = 4, ntyp = 3
/
ATOMIC_SPECIES
Nb 92.91 Nb.upf
Ga 69.72 Ga.upf
Os 190.23 Os.upf
ATOMIC_POSITIONS crystal
Nb 0.000 0.000 0.244
Nb 0.000 0.000 0.756
Ga 0.500 0.500 0.500
Os 0.500 0.500 0.000
CELL_PARAMETERS angstrom
3.418 0.000 0.000
0.000 3.418 0.000
0.000 0.000 5.682
```

=====

The following is a DFT calculation (GGA-PBE) of NbGa2Os after structural relaxation. Values from VASP.

```
&SYSTEM
  ibrav = 0, nat = 16, ntyp = 3
/
ATOMIC_SPECIES
Nb 92.91 Nb.upf
Ga 69.72 Ga.upf
Os 190.23 Os.upf
ATOMIC_POSITIONS crystal
Nb 0.000 0.000 0.000
Nb 0.000 0.500 0.250
Nb 0.500 0.000 0.750
Nb 0.500 0.500 0.500
Ga 0.249 0.250 0.125
Ga 0.250 0.749 0.375
Ga 0.250 0.751 0.875
Ga 0.251 0.250 0.625
Ga 0.749 0.750 0.625
Ga 0.750 0.249 0.875
Ga 0.750 0.251 0.375
Ga 0.751 0.750 0.125
Os 0.000 0.000 0.500
Os 0.000 0.500 0.750
Os 0.500 0.000 0.250
Os 0.500 0.500 0.000
CELL_PARAMETERS angstrom
3.791 0.000 0.000
0.000 3.791 0.000
0.000 0.000 19.175
```

Results
For the distance to the lowest polymorph of the same formula, the calculation gives 182 meV/atom.

=====

The following is a DFT calculation (GGA-PBE) of Nb2GaPOs after structural relaxation. Values from VASP.

```
&SYSTEM
  ibrav = 0, nat = 5, ntyp = 4
/
ATOMIC_SPECIES
Nb 92.91 Nb.upf
Ga 69.72 Ga.upf
P 30.97 P.upf
Os 190.23 Os.upf
ATOMIC_POSITIONS crystal
Nb 0.000 0.500 0.000
Nb 0.500 0.000 0.000
Ga 0.000 0.000 0.500
P 0.500 0.500 0.500
Os 0.500 0.500 0.000
CELL_PARAMETERS angstrom
4.998 0.000 0.000
0.000 4.998 0.000
0.000 0.000 4.329
```

=====

The following is a DFT calculation (GGA-PBE) of NbGaOsPd after structural relaxation. Values from VASP.

```
&SYSTEM
  ibrav = 0, nat = 16, ntyp = 4
/
ATOMIC_SPECIES
Nb 92.91 Nb.upf
Ga 69.72 Ga.upf
Os 190.23 Os.upf
Pd 106.42 Pd.upf
ATOMIC_POSITIONS crystal
Nb 0.000 0.000 0.000
Nb 0.000 0.500 0.500
Nb 0.500 0.000 0.500
Nb 0.500 0.500 0.000
Ga 0.000 0.000 0.500
Ga 0.000 0.500 0.000
Ga 0.500 0.000 0.000
Ga 0.500 0.500 0.500
Os 0.250 0.250 0.750
Os 0.250 0.750 0.250
Os 0.750 0.250 0.250
Os 0.750 0.750 0.750
Pd 0.250 0.250 0.250
Pd 0.250 0.750 0.750
Pd 0.750 0.250 0.750
Pd 0.750 0.750 0.250
CELL_PARAMETERS angstrom
6.311 0.000 0.000
0.000 6.311 0.000
0.000 0.000 6.311
```

=====

The following is a DFT calculation (GGA-PBE) of NbGaOsRh after structural relaxation. Values from VASP.

```
&SYSTEM
  ibrav = 0, nat = 8, ntyp = 4
/
ATOMIC_SPECIES
Nb 92.91 Nb.upf
Ga 69.72 Ga.upf
Os 190.23 Os.upf
Rh 102.91 Rh.upf
ATOMIC_POSITIONS crystal
Nb 0.000 0.000 0.000
Nb 0.500 0.500 0.500
Ga 0.000 0.000 0.500
Ga 0.500 0.500 0.000
Os 0.000 0.500 0.750
Os 0.500 0.000 0.250
Rh 0.000 0.500 0.250
Rh 0.500 0.000 0.750
CELL_PARAMETERS angstrom
4.175 0.000 0.000
0.000 4.175 0.000
0.000 0.000 7.010
```

Results
For the distance to the lowest polymorph of the same formula, the calculation gives 0 meV/atom.

=====

no.,volume (Å³/atom),energy of formation from the pure elements (kJ per mole of atoms)
1,15.37,2.1
2,18.39,34.9
3,19.47,37.1
4,17.64,13.2
5,17.49,-23.0
6,16.86,64.0
7,16.89,-1.5
8,16.59,-8.8
9,17.22,19.6
10,21.63,78.1
11,15.71,-20.3
12,15.28,-37.2